This record from Alexandria describes crystalline RbAcHgAs at its relaxed geometry. The functional is PBE-GGA.

Calculated values
- ΔH_f (0 K) (eV/f.u.) = -1.67
- total energy (eV/atom) = -2.92

Unit cell a=5.6751 b=5.6751 c=5.6751 alpha=60.00 beta=60.00 gamma=60.00
Sites, in units of the cell vectors:
Rb 0.0000 0.0000 0.0000
Ac 0.5000 0.5000 0.5000
Hg 0.7500 0.7500 0.7500
As 0.2500 0.2500 0.2500